[1]
Material: NdSeF
Method: DFT, SCAN
State: PBEsol geometry

Structure (extended XYZ):
```
6
Lattice="3.988 0.000 0.000 0.000 3.988 0.000 0.000 0.000 7.112" Properties=species:S:1:pos:R:3 pbc="T T T"
Nd 0.997 0.997 1.539
Nd 2.991 2.991 5.573
Se 0.997 0.997 4.578
Se 2.991 2.991 2.534
F 0.997 2.991 0.000
F 2.991 0.997 0.000
```

Values from the calculation:
Formation energy without anion corrections ... -3197.5 meV/atom
Mass density ... 7.1 g/cm³

=====

[2]
Material: ZrSc2Cr
Method: DFT, SCAN
State: PBEsol geometry

Structure (extended XYZ):
```
16
Lattice="6.854 0.000 0.000 0.000 6.854 0.000 0.000 0.000 6.854" Properties=species:S:1:pos:R:3 pbc="T T T"
Zr 0.000 0.000 0.000
Zr 0.000 3.427 3.427
Zr 3.427 0.000 3.427
Zr 3.427 3.427 0.000
Sc 1.714 1.714 1.714
Sc 1.714 1.714 5.141
Sc 1.714 5.141 1.714
Sc 1.714 5.141 5.141
Sc 5.141 1.714 1.714
Sc 5.141 1.714 5.141
Sc 5.141 5.141 1.714
Sc 5.141 5.141 5.141
Cr 0.000 0.000 3.427
Cr 0.000 3.427 0.000
Cr 3.427 0.000 0.000
Cr 3.427 3.427 3.427
```

Values from the calculation:
Mass density ... 4.8 g/cm³
ΔE to the lowest computed polymorph ... 0 meV per atom

=====

[3]
Material: CaVF5
Method: DFT, SCAN
State: PBEsol geometry

Structure (extended XYZ):
```
14
Lattice="4.490 -3.245 0.000 4.490 3.245 0.000 -3.170 0.000 6.866" Properties=species:S:1:pos:R:3 pbc="T T T"
Ca 2.113 2.956 5.150
Ca 3.698 -2.956 1.717
V 4.490 0.000 0.000
V 2.905 0.000 3.433
F 4.299 1.928 0.207
F 3.097 1.928 3.227
F 1.214 0.122 2.627
F -0.372 -0.122 6.060
F 2.113 0.543 5.150
F 3.698 -0.543 1.717
F 6.182 0.122 0.807
F 4.597 -0.122 4.240
F 2.714 -1.928 3.640
F 1.512 -1.928 6.660
```

Values from the calculation:
Formation energy without anion corrections ... -3647.9 meV/atom
Mass density ... 3.1 g/cm³

=====

[4]
Material: GeCNF2
Method: DFT, SCAN
State: PBEsol geometry

Structure (extended XYZ):
```
5
Lattice="4.603 0.000 0.000 0.000 4.603 0.000 0.000 0.000 2.483" Properties=species:S:1:pos:R:3 pbc="T T T"
Ge 0.000 0.000 0.000
C 2.301 2.301 1.241
N 2.301 2.301 0.000
F 0.000 2.301 1.241
F 2.301 0.000 1.241
```

Values from the calculation:
Formation energy without anion corrections ... -256.5 meV/atom
Mass density ... 4.3 g/cm³

=====

[5]
Material: ZrIrSe3
Method: DFT, SCAN
State: PBEsol geometry

Structure (extended XYZ):
```
5
Lattice="5.052 0.000 0.000 0.000 5.052 0.000 0.000 0.000 5.052" Properties=species:S:1:pos:R:3 pbc="T T T"
Zr 0.000 0.000 0.000
Ir 2.526 2.526 2.526
Se 0.000 0.000 2.526
Se 0.000 2.526 0.000
Se 2.526 0.000 0.000
```

Values from the calculation:
Formation energy without anion corrections ... 598.8 meV/atom
Mass density ... 6.7 g/cm³

=====

[6]
Material: NiPH16NO10
Method: DFT, SCAN
State: PBEsol geometry

Structure (extended XYZ):
```
58
Lattice="6.876 0.000 0.000 0.000 5.982 0.000 0.000 0.000 11.077" Properties=species:S:1:pos:R:3 pbc="T T T"
Ni 0.000 0.855 0.000
Ni 3.438 5.128 5.538
P 0.000 2.945 4.136
P 3.438 3.037 9.674
H 0.000 0.732 8.123
H 0.000 1.548 6.582
H 0.000 4.125 0.350
H 0.000 4.741 1.858
H 0.826 3.112 9.795
H 0.845 0.046 6.854
H 1.229 3.923 6.315
H 1.251 5.168 3.943
H 1.374 1.772 2.153
H 1.661 5.281 9.649
H 1.776 0.702 4.111
H 2.064 4.210 7.691
H 2.187 0.815 9.482
H 2.209 2.059 0.776
H 2.593 5.936 1.316
H 2.612 2.871 4.257
H 3.438 1.241 7.397
H 3.438 1.858 5.888
H 3.438 4.434 1.043
H 3.438 5.251 2.585
H 4.264 2.871 4.257
H 4.283 5.936 1.316
H 4.667 2.059 0.776
H 4.689 0.815 9.482
H 4.812 4.210 7.691
H 5.099 0.702 4.111
H 5.214 5.281 9.649
H 5.501 1.772 2.153
H 5.625 5.168 3.943
H 5.647 3.923 6.315
H 6.030 0.046 6.854
H 6.049 3.112 9.795
N 0.000 0.626 7.089
N 3.438 5.357 1.550
O 0.000 2.813 10.311
O 0.000 3.062 5.682
O 0.000 4.364 3.501
O 0.000 4.973 0.882
O 1.278 2.200 3.670
O 1.363 0.257 9.703
O 1.546 1.423 1.211
O 1.891 4.559 6.749
O 2.075 5.725 4.165
O 2.159 3.783 9.208
O 3.438 1.009 6.420
O 3.438 1.619 9.039
O 3.438 2.920 0.144
O 3.438 3.170 4.772
O 4.716 3.783 9.208
O 4.800 5.725 4.165
O 4.984 4.559 6.749
O 5.329 1.423 1.211
O 5.513 0.257 9.703
O 5.597 2.200 3.670
```

Values from the calculation:
Final energy ... -6.49 eV/atom
Mass density ... 2.0 g/cm³

=====

[7]
Material: La5Mg
Method: DFT, SCAN
State: PBEsol geometry

Structure (extended XYZ):
```
6
Lattice="6.213 0.000 0.000 -3.106 5.380 0.000 0.000 0.000 5.764" Properties=species:S:1:pos:R:3 pbc="T T T"
La -0.990 1.714 0.000
La 1.979 0.000 0.000
La 0.000 3.587 2.882
La 3.106 1.793 2.882
La 2.117 3.666 0.000
Mg 0.000 0.000 2.882
```

Values from the calculation:
Mass density ... 6.2 g/cm³
ΔE to the lowest computed polymorph ... 29 meV per atom

=====

[8]
Material: OsRu2Pb
Method: DFT, SCAN
State: PBEsol geometry

Structure (extended XYZ):
```
12
Lattice="2.864 0.000 0.000 -1.432 2.480 0.000 0.000 0.000 26.882" Properties=species:S:1:pos:R:3 pbc="T T T"
Os 0.000 0.000 0.000
Os 0.000 1.653 17.921
Os 1.432 0.827 8.961
Ru 0.000 0.000 6.900
Ru 0.000 0.000 19.982
Ru 0.000 1.653 11.021
Ru 0.000 1.653 24.822
Ru 1.432 0.827 2.060
Ru 1.432 0.827 15.861
Pb 0.000 0.000 13.441
Pb 0.000 1.653 4.480
Pb 1.432 0.827 22.402
```

Values from the calculation:
Final energy ... -53.65 eV/atom
Mass density ... 15.6 g/cm³

=====

[9]
Material: HfZr2CrB
Method: DFT, SCAN
State: PBEsol geometry

Structure (extended XYZ):
```
5
Lattice="4.584 0.000 0.000 0.000 4.584 0.000 0.000 0.000 4.517" Properties=species:S:1:pos:R:3 pbc="T T T"
Hf 0.000 0.000 0.000
Zr 0.000 2.292 2.259
Zr 2.292 0.000 2.259
Cr 2.292 2.292 0.000
B 0.000 0.000 2.259
```

Values from the calculation:
Final energy ... -29.99 eV/atom
Mass density ... 7.4 g/cm³

=====

[10]
Material: K4CrCu
Method: DFT, SCAN
State: PBEsol geometry

Structure (extended XYZ):
```
6
Lattice="0.000 4.998 4.998 4.998 0.000 4.998 4.998 4.998 0.000" Properties=species:S:1:pos:R:3 pbc="T T T"
K 1.245 1.245 1.245
K 3.753 3.753 1.245
K 3.753 1.245 3.753
K 1.245 3.753 3.753
Cr 4.998 4.998 4.998
Cu 7.497 7.497 7.497
```

Values from the calculation:
Final energy ... -10.28 eV/atom
Mass density ... 1.8 g/cm³

=====

[11]
Material: Mg2NbTlHg
Method: DFT, SCAN
State: PBEsol geometry

Structure (extended XYZ):
```
5
Lattice="5.146 0.000 0.000 0.000 5.146 0.000 0.000 0.000 5.425" Properties=species:S:1:pos:R:3 pbc="T T T"
Mg 0.000 2.573 0.000
Mg 2.573 0.000 0.000
Nb 0.000 0.000 2.713
Tl 2.573 2.573 0.000
Hg 2.573 2.573 2.713
```

Values from the calculation:
Final energy ... -35.71 eV/atom
Mass density ... 6.3 g/cm³

=====

[12]
Material: CaZrOs2
Method: DFT, SCAN
State: PBEsol geometry

Structure (extended XYZ):
```
4
Lattice="4.646 0.000 0.000 0.000 4.646 0.000 0.000 0.000 3.251" Properties=species:S:1:pos:R:3 pbc="T T T"
Ca 0.000 0.000 0.000
Zr 2.323 2.323 0.000
Os 0.000 2.323 1.626
Os 2.323 0.000 1.626
```

Values from the calculation:
Final energy ... -45.91 eV/atom
Mass density ... 12.1 g/cm³